The following is a DFT calculation (PBE-GGA) of a relaxed structure of GaAgNF2.

a = 4.5686 Å, b = 4.5686 Å, c = 4.0677 Å
α = 90.00°, β = 90.00°, γ = 90.00°
With the nearest neighbours (Å) after each atom.
Atoms (fractional coordinates):
1 Ga 0.0000 0.0000 0.0000  8 F 3.06, 4 N 3.23
2 Ag 0.5000 0.5000 0.5000  2 N 2.03
3 N 0.5000 0.5000 0.0000  2 Ag 2.03
4 F 0.0000 0.5000 0.5000  2 Ag 2.28
5 F 0.5000 0.0000 0.5000  2 Ag 2.28

Results
* electronic total energy: -3.661 eV/atom
* formation energy without anion corrections: -0.0721 eV per atom